1.
MgSi2Rh after structural relaxation. Source: the Alexandria database, functional PBE-GGA.

The value obtained for the energy relative to the elements, uncorrected is -248.7 meV/atom. The space group is R-3m (166). The calculation puts the density of states at the Fermi level at 2.429 states/eV per cell.

Lattice parameters (Å, degrees): 8.1922 8.1922 8.1922 21.12 21.12 21.12
With the nearest neighbours (Å) after each atom.
Element x y z (fractional)
Mg: 0.0000 0.0000 0.0000  6 Si 2.82, 6 Mg 3.00
Si: 0.2409 0.2409 0.2409  3 Rh 2.49
Si: 0.7591 0.7591 0.7591  3 Rh 2.49
Rh: 0.5000 0.5000 0.5000  6 Si 2.49



2.
PrTm2Ga2Pt7 after structural relaxation. Source: the Alexandria database, functional PBE-GGA.

The formation enthalpy at 0 K is -0.9031 eV/atom. The space group is C2/m (12). The calculation puts the density of states at the Fermi level at 3.363 states/eV per cell.

Lattice parameters (Å, degrees): 4.0682 4.0682 14.2214 97.27 97.27 89.30
With the nearest neighbours (Å) after each atom.
Element x y z (fractional)
Pr: 0.0000 0.0000 0.0000  12 Pt 2.86-3.05
Tm: 0.1391 0.1391 0.3603  5 Pt 2.91-3.20, 3 Ga 3.09-3.16
Tm: 0.8609 0.8609 0.6397  5 Pt 2.91-3.20, 3 Ga 3.09-3.16
Ga: 0.3845 0.3845 0.7347  5 Pt 2.42-2.49
Ga: 0.6155 0.6155 0.2653  5 Pt 2.42-2.49
Pt: 0.0710 0.5708 0.1626  2 Ga 2.49
Pt: 0.3465 0.3465 0.5624  1 Ga 2.42
Pt: 0.4292 0.9290 0.8374  2 Ga 2.49
Pt: 0.5000 0.5000 0.0000  4 Pr 2.86-2.89, 8 Pt 3.05
Pt: 0.5708 0.0710 0.1626  2 Ga 2.49
Pt: 0.6535 0.6535 0.4376  1 Ga 2.42
Pt: 0.9290 0.4292 0.8374  2 Ga 2.49



3.
DyEr4Se7 after structural relaxation. Source: the Alexandria database, functional PBE-GGA.

The value obtained for the energy relative to the elements, uncorrected is -1840.5 meV/atom. The space group is Cm (8). The calculation puts the density of states at the Fermi level at 1.883 states/eV per cell.

Lattice parameters (Å, degrees): 6.9343 6.9343 12.1305 103.68 103.68 33.00
With the nearest neighbours (Å) after each atom.
Element x y z (fractional)
Dy: 0.0000 0.0000 0.0000  6 Se 2.79-2.95
Er: 0.1132 0.1132 0.4225  6 Se 2.79-2.85
Er: 0.2260 0.2260 0.8435  6 Se 2.77-2.94
Er: 0.4126 0.4126 0.6083  7 Se 2.86-3.05
Er: 0.8136 0.8136 0.2356  7 Se 2.86-3.05
Se: 0.0728 0.0728 0.6374  4 Er 2.79-2.86
Se: 0.1538 0.1538 0.2078  3 Er 2.79-2.86, 1 Dy 2.83
Se: 0.3695 0.3695 0.0703  2 Dy 2.89, 3 Er 2.94-3.03
Se: 0.4538 0.4538 0.3721  5 Er 2.85-3.05
Se: 0.6137 0.6137 0.9207  2 Er 2.77, 2 Dy 2.79
Se: 0.7727 0.7727 0.4720  5 Er 2.85-3.05
Se: 0.8541 0.8541 0.7728  4 Er 2.87-3.04, 1 Dy 2.95